Computed, not measured: a crystal of Ba2BiSe2 relaxed with PBEsol at the SCAN level of DFT.

Summary:
* DFT total energy: -40.692 eV per atom
* space-group type: I4/mmm (139)

Lattice parameters (Å, degrees): 4.2521 4.2521 18.5258 90.00 90.00 90.00
Closest atoms and distances in Å follow each position.
Element x y z (fractional)
Ba  0.0000  0.0000  0.1161  4 Se 3.27
Ba  0.0000  0.0000  0.8839  4 Se 3.27
Ba  0.5000  0.5000  0.3839  4 Se 3.27
Ba  0.5000  0.5000  0.6161  4 Se 3.27
Bi  0.0000  0.0000  0.5000  8 Ba 3.70
Bi  0.5000  0.5000  0.0000  8 Ba 3.70
Se  0.0000  0.5000  0.2500  4 Se 3.01, 4 Ba 3.27
Se  0.0000  0.5000  0.7500  4 Se 3.01, 4 Ba 3.27
Se  0.5000  0.0000  0.2500  4 Se 3.01, 4 Ba 3.27
Se  0.5000  0.0000  0.7500  4 Se 3.01, 4 Ba 3.27

=====

Computed, not measured: a crystal of BaZnBiSe2 relaxed with PBEsol at the SCAN level of DFT.

Summary:
* DFT total energy: -34.979 eV per atom
* space-group type: P4/mmm (123)

Lattice parameters (Å, degrees): 5.6644 5.6644 5.1125 90.00 90.00 90.00
Closest atoms and distances in Å follow each position.
Element x y z (fractional)
Ba  0.0000  0.0000  0.0000  8 Se 3.82, 4 Zn 4.01
Zn  0.5000  0.5000  0.0000  2 Bi 2.56
Bi  0.5000  0.5000  0.5000  2 Zn 2.56, 4 Se 2.83
Se  0.0000  0.5000  0.5000  2 Bi 2.83
Se  0.5000  0.0000  0.5000  2 Bi 2.83

=====

Computed, not measured: a crystal of Ba2SiBi2 relaxed with PBEsol at the SCAN level of DFT.

Summary:
* DFT total energy: -49.742 eV per atom
* space-group type: P4/mbm (127)

Lattice parameters (Å, degrees): 8.0688 8.0688 5.2683 90.00 90.00 90.00
Closest atoms and distances in Å follow each position.
Element x y z (fractional)
Ba  0.1760  0.3240  0.0000  6 Bi 3.41-3.65
Ba  0.3240  0.8240  0.0000  6 Bi 3.41-3.65
Ba  0.6760  0.1760  0.0000  6 Bi 3.41-3.65
Ba  0.8240  0.6760  0.0000  6 Bi 3.41-3.65
Si  0.0000  0.0000  0.5000  4 Bi 3.14
Si  0.5000  0.5000  0.5000  4 Bi 3.14
Bi  0.1348  0.6348  0.5000  1 Bi 3.08, 2 Si 3.14, 2 Ba 3.41
Bi  0.3652  0.1348  0.5000  1 Bi 3.08, 2 Si 3.14, 2 Ba 3.41
Bi  0.6348  0.8652  0.5000  1 Bi 3.08, 2 Si 3.14, 2 Ba 3.41
Bi  0.8652  0.3652  0.5000  1 Bi 3.08, 2 Si 3.14, 2 Ba 3.41

=====

Computed, not measured: a crystal of BaSi2Bi2 relaxed with PBEsol at the SCAN level of DFT.

Summary:
* DFT total energy: -43.067 eV per atom
* space-group type: P4/mbm (127)

Lattice parameters (Å, degrees): 8.6007 8.6007 3.7561 90.00 90.00 90.00
Closest atoms and distances in Å follow each position.
Element x y z (fractional)
Ba  0.0000  0.0000  0.0000  4 Bi 3.37, 2 Ba 3.76
Ba  0.5000  0.5000  0.0000  4 Bi 3.37, 2 Ba 3.76
Si  0.1491  0.3509  0.5000  6 Bi 3.05-3.27
Si  0.3509  0.8509  0.5000  6 Bi 3.05-3.27
Si  0.6491  0.1491  0.5000  6 Bi 3.05-3.27
Si  0.8509  0.6491  0.5000  6 Bi 3.05-3.27
Bi  0.1303  0.6303  0.0000  6 Si 3.05-3.27, 1 Bi 3.17, 2 Ba 3.37
Bi  0.3697  0.1303  0.0000  6 Si 3.05-3.27, 1 Bi 3.17, 2 Ba 3.37
Bi  0.6303  0.8697  0.0000  6 Si 3.05-3.27, 1 Bi 3.17, 2 Ba 3.37
Bi  0.8697  0.3697  0.0000  6 Si 3.05-3.27, 1 Bi 3.17, 2 Ba 3.37

=====

Computed, not measured: a crystal of Ba2SiBi relaxed with PBEsol at the SCAN level of DFT.

Summary:
* DFT total energy: -42.120 eV per atom
* space-group type: I-42d (122)

Lattice parameters (Å, degrees): 9.1505 9.1505 6.7515 90.00 90.00 90.00
Closest atoms and distances in Å follow each position.
Element x y z (fractional)
Ba  0.2274  0.2500  0.1250  2 Si 3.21, 2 Ba 3.40, 2 Bi 3.49
Ba  0.2500  0.7274  0.3750  2 Si 3.21, 2 Ba 3.40, 2 Bi 3.49
Ba  0.2500  0.7726  0.8750  2 Si 3.21, 2 Ba 3.40, 2 Bi 3.49
Ba  0.2726  0.2500  0.6250  2 Si 3.21, 2 Ba 3.40, 2 Bi 3.49
Ba  0.7274  0.7500  0.6250  2 Si 3.21, 2 Ba 3.40, 2 Bi 3.49
Ba  0.7500  0.2274  0.8750  2 Si 3.21, 2 Ba 3.40, 2 Bi 3.49
Ba  0.7500  0.2726  0.3750  2 Si 3.21, 2 Ba 3.40, 2 Bi 3.49
Ba  0.7726  0.7500  0.1250  2 Si 3.21, 2 Ba 3.40, 2 Bi 3.49
Si  0.0000  0.0000  0.0000  4 Ba 3.21, 2 Bi 3.38
Si  0.0000  0.5000  0.2500  4 Ba 3.21, 2 Bi 3.38
Si  0.5000  0.0000  0.7500  4 Ba 3.21, 2 Bi 3.38
Si  0.5000  0.5000  0.5000  4 Ba 3.21, 2 Bi 3.38
Bi  0.0000  0.0000  0.5000  2 Si 3.38, 4 Ba 3.49
Bi  0.0000  0.5000  0.7500  2 Si 3.38, 4 Ba 3.49
Bi  0.5000  0.0000  0.2500  2 Si 3.38, 4 Ba 3.49
Bi  0.5000  0.5000  0.0000  2 Si 3.38, 4 Ba 3.49

=====

Computed, not measured: a crystal of Ba2SnBi2 relaxed with PBEsol at the SCAN level of DFT.

Summary:
* formation enthalpy at 0 K: -0.774 eV per atom
* space-group type: P4/mbm (127)

Lattice parameters (Å, degrees): 8.4562 8.4562 5.1353 90.00 90.00 90.00
Closest atoms and distances in Å follow each position.
Element x y z (fractional)
Ba  0.1767  0.3233  0.0000  6 Bi 3.46-3.67
Ba  0.3233  0.8233  0.0000  6 Bi 3.46-3.67
Ba  0.6767  0.1767  0.0000  6 Bi 3.46-3.67
Ba  0.8233  0.6767  0.0000  6 Bi 3.46-3.67
Sn  0.0000  0.0000  0.5000  4 Bi 3.32
Sn  0.5000  0.5000  0.5000  4 Bi 3.32
Bi  0.1291  0.6291  0.5000  1 Bi 3.09, 2 Sn 3.32
Bi  0.3709  0.1291  0.5000  1 Bi 3.09, 2 Sn 3.32
Bi  0.6291  0.8709  0.5000  1 Bi 3.09, 2 Sn 3.32
Bi  0.8709  0.3709  0.5000  1 Bi 3.09, 2 Sn 3.32